VASP calculation (PBE with a Hubbard U) on a relaxed structure of Li9Mn2Co5O16.

- Volume: 276 Å³ per cell
- Uncorrected energy: -186.29 eV per cell
- Crystal system: monoclinic
- DOS(E_F): 0.138 states/eV per atom
- Total moment: 11.938 μB per cell

Unit cell a=4.9508 b=5.8138 c=9.7527 alpha=90.00 beta=100.11 gamma=90.00
With the nearest neighbours (Å) after each atom.
Element x y z (fractional)
Li 0.0000 0.0000 0.0000  6 O 2.06-2.10
Li 0.2382 0.9996 0.7686  4 O 1.96-2.17
Li 0.2474 0.2424 0.2358  6 O 2.05-2.23
Li 0.2481 0.7622 0.2355  4 O 1.98-2.21
Li 0.2577 0.5061 0.7618  4 O 1.99-2.22
Li 0.7423 0.5061 0.2382  4 O 1.99-2.22
Li 0.7519 0.7622 0.7645  4 O 1.98-2.21
Li 0.7526 0.2424 0.7642  6 O 2.05-2.23
Li 0.7618 0.9996 0.2314  4 O 1.96-2.17
Mn 0.0000 0.2496 0.5000  6 O 1.94-1.96
Mn 0.0000 0.5097 0.0000  6 O 1.93-1.96
Co 0.0000 0.7487 0.5000  6 O 1.92-2.03
Co 0.5000 0.2356 0.0000  6 O 1.95-2.13
Co 0.5000 0.4986 0.5000  6 O 1.94-1.96
Co 0.5000 0.7523 0.0000  6 O 1.93-1.99
Co 0.5000 0.9991 0.5000  6 O 1.94-1.96
O 0.1320 0.0079 0.3886  2 Co 1.95-2.03, 1 Mn 1.96, 2 Li 2.17
O 0.1322 0.4894 0.3904  1 Mn 1.94, 2 Co 1.94-2.02
O 0.1337 0.2706 0.8866  1 Co 1.96, 1 Mn 1.96, 4 Li 2.00-2.10
O 0.1338 0.7394 0.8861  1 Mn 1.93, 1 Co 1.95, 4 Li 1.99-2.06
O 0.3616 0.5106 0.1139  1 Mn 1.93, 2 Co 1.99-2.13, 3 Li 2.02-2.10
O 0.3684 0.7485 0.6022  3 Co 1.92-1.94
O 0.3691 0.2490 0.6061  1 Mn 1.94, 2 Co 1.96
O 0.3943 0.9912 0.1176  2 Co 1.93-1.95, 4 Li 1.96-2.08
O 0.6057 0.9912 0.8824  2 Co 1.93-1.95, 4 Li 1.96-2.08
O 0.6309 0.2490 0.3939  1 Mn 1.94, 2 Co 1.96
O 0.6316 0.7485 0.3978  3 Co 1.92-1.94
O 0.6384 0.5106 0.8861  1 Mn 1.93, 2 Co 1.99-2.13, 3 Li 2.02-2.10
O 0.8663 0.2706 0.1134  1 Co 1.96, 1 Mn 1.96, 4 Li 2.00-2.10
O 0.8662 0.7394 0.1139  1 Mn 1.93, 1 Co 1.95, 4 Li 1.99-2.06
O 0.8680 0.0079 0.6114  2 Co 1.95-2.03, 1 Mn 1.96, 2 Li 2.17
O 0.8678 0.4894 0.6096  1 Mn 1.94, 2 Co 1.94-2.02